# SnPd3Se, relaxed, DFT GGA-PBE
# DOS(E_F) = 2.2 states/eV/f.u.
# E_form (uncorrected) = -0.33 eV/atom
# Energy = -4.9424 eV per atom
# Volume = 18.267 A^3/atom
# Crystal system = monoclinic
data_SnPd3Se
_cell_length_a 10.9183
_cell_length_b 9.8873
_cell_length_c 6.9723
_cell_angle_alpha 90.00
_cell_angle_beta 103.88
_cell_angle_gamma 90.00
_space_group_name_H-M_alt 'C 1 2/c 1'
_space_group_IT_number 15
loop_
_space_group_symop_operation_xyz
'x,y,z'
'-x,-y,-z'
'-x,y,-z+1/2'
'x,-y,z+1/2'
'x+1/2,y+1/2,z'
'-x+1/2,-y+1/2,-z'
'-x+1/2,y+1/2,-z+1/2'
'x+1/2,-y+1/2,z+1/2'
loop_
_atom_site_label
_atom_site_fract_x
_atom_site_fract_y
_atom_site_fract_z
Sn1 0.0000 0.0357 0.2500
Sn2 0.0000 0.3536 0.7500
Pd1 0.1282 0.1602 0.5938
Pd2 0.1462 0.1557 0.0098
Pd3 0.2002 0.4510 0.6232
Se1 0.1421 0.3406 0.2692

---

# SnPdSe, relaxed, DFT GGA-PBE
# DOS(E_F) = 1.4 states/eV/f.u.
# E_form (uncorrected) = -0.32 eV/atom
# Energy = -4.5433 eV per atom
# Volume = 21.489 A^3/atom
# Crystal system = monoclinic
data_SnPdSe
_cell_length_a 12.1825
_cell_length_b 3.7577
_cell_length_c 6.6795
_cell_angle_alpha 90.00
_cell_angle_beta 122.51
_cell_angle_gamma 90.00
_space_group_name_H-M_alt 'C 1 2/m 1'
_space_group_IT_number 12
loop_
_space_group_symop_operation_xyz
'x,y,z'
'-x,-y,-z'
'-x,y,-z'
'x,-y,z'
'x+1/2,y+1/2,z'
'-x+1/2,-y+1/2,-z'
'-x+1/2,y+1/2,-z'
'x+1/2,-y+1/2,z'
loop_
_atom_site_label
_atom_site_fract_x
_atom_site_fract_y
_atom_site_fract_z
Sn1 0.0643 0.0000 0.2934
Pd1 0.1169 0.5000 0.9983
Se1 0.2046 0.5000 0.7157

---

# SnPd6Se, relaxed, DFT GGA-PBE
# DOS(E_F) = 4.0 states/eV/f.u.
# E_form (uncorrected) = -0.19 eV/atom
# Energy = -5.0234 eV per atom
# Volume = 18.091 A^3/atom
# Crystal system = monoclinic
data_SnPd6Se
_cell_length_a 7.6299
_cell_length_b 5.5685
_cell_length_c 7.3753
_cell_angle_alpha 90.00
_cell_angle_beta 112.52
_cell_angle_gamma 90.00
_space_group_name_H-M_alt 'C 1 2/m 1'
_space_group_IT_number 12
loop_
_space_group_symop_operation_xyz
'x,y,z'
'-x,-y,-z'
'-x,y,-z'
'x,-y,z'
'x+1/2,y+1/2,z'
'-x+1/2,-y+1/2,-z'
'-x+1/2,y+1/2,-z'
'x+1/2,-y+1/2,z'
loop_
_atom_site_label
_atom_site_fract_x
_atom_site_fract_y
_atom_site_fract_z
Sn1 0.0000 0.0000 0.0000
Pd1 0.1618 0.0000 0.4499
Pd2 0.1750 0.2462 0.7950
Se1 0.0000 0.5000 0.5000

---

# Sn2Pd2Se, relaxed, DFT GGA-PBE
# DOS(E_F) = 2.3 states/eV/f.u.
# E_form (uncorrected) = -0.19 eV/atom
# Energy = -4.5679 eV per atom
# Volume = 20.453 A^3/atom
# Crystal system = tetragonal
data_Sn2Pd2Se
_cell_length_a 8.2582
_cell_length_b 8.2582
_cell_length_c 2.9991
_cell_angle_alpha 90.00
_cell_angle_beta 90.00
_cell_angle_gamma 90.00
_space_group_name_H-M_alt 'P 4/m b m'
_space_group_IT_number 127
_space_group_name_Hall '-P 4 2ab'
loop_
_atom_site_label
_atom_site_fract_x
_atom_site_fract_y
_atom_site_fract_z
Sn1 0.1772 0.3228 0.0000
Pd1 0.1181 0.6181 0.5000
Se1 0.0000 0.0000 0.0000

---

# SnPd3Se, relaxed, DFT GGA-PBE
# DOS(E_F) = 0.3 states/eV/f.u.
# E_form (uncorrected) = -0.03 eV/atom
# Energy = -4.6398 eV per atom
# Volume = 21.419 A^3/atom
# Crystal system = cubic
data_SnPd3Se
_cell_length_a 4.7488
_cell_length_b 4.7488
_cell_length_c 4.7488
_cell_angle_alpha 90.00
_cell_angle_beta 90.00
_cell_angle_gamma 90.00
_space_group_name_H-M_alt 'P m -3 m'
_space_group_IT_number 221
_space_group_name_Hall '-P 4 2 3'
loop_
_atom_site_label
_atom_site_fract_x
_atom_site_fract_y
_atom_site_fract_z
Sn1 0.0000 0.0000 0.0000
Pd1 0.0000 0.5000 0.5000
Se1 0.5000 0.5000 0.5000

---

# SnPdSe, relaxed, DFT GGA-PBE
# DOS(E_F) = 0.6 states/eV/f.u.
# E_form (uncorrected) = -0.30 eV/atom
# Energy = -4.5295 eV per atom
# Volume = 22.878 A^3/atom
# Crystal system = trigonal
data_SnPdSe
_cell_length_a 4.3400
_cell_length_b 4.3400
_cell_length_c 4.2077
_cell_angle_alpha 90.00
_cell_angle_beta 90.00
_cell_angle_gamma 120.00
_space_group_name_H-M_alt 'P 3 m 1'
_space_group_IT_number 156
loop_
_space_group_symop_operation_xyz
'x,y,z'
'-y,x-y,z'
'-x+y,-x,z'
'-y,-x,z'
'-x+y,y,z'
'x,x-y,z'
loop_
_atom_site_label
_atom_site_fract_x
_atom_site_fract_y
_atom_site_fract_z
Sn1 0.0000 0.0000 0.0000
Pd1 0.6667 0.3333 0.3300
Se1 0.3333 0.6667 0.4531

---

> Among the records above, which one has the highest E_form (uncorrected)?

number 5

---

> Which value of volume does entry 1 give?

18.267 A^3/atom